(1)
# ZnBiNO2 | Alexandria via LeMat-Bulk | PBE | optimized geometry
# Symmetry ... P4/mmm, No. 123
# ΔE_f (raw) ... 0.063 eV per atom
data_ZnBiNO2
_chemical_formula_sum 'Zn1 Bi1 N1 O2'
_symmetry_space_group_name_H-M 'P 1'
_symmetry_Int_Tables_number 1
_cell_length_a 3.955
_cell_length_b 3.955
_cell_length_c 3.925
_cell_angle_alpha 90.00
_cell_angle_beta 90.00
_cell_angle_gamma 90.00
loop_
_symmetry_equiv_pos_as_xyz
'x,y,z'
loop_
_atom_site_label
_atom_site_type_symbol
_atom_site_fract_x
_atom_site_fract_y
_atom_site_fract_z
N1 N 0.000 0.000 0.500
Zn1 Zn 0.000 0.000 0.000
O1 O 0.000 0.500 0.000
Bi1 Bi 0.500 0.500 0.500
O2 O 0.500 0.000 0.000

***

(2)
# Ba2Li2PbO6 | Alexandria via LeMat-Bulk | PBE | optimized geometry
# Symmetry ... R-3m, No. 166
# ΔE_f (raw) ... -1.570 eV per atom
data_Ba2Li2PbO6
_chemical_formula_sum 'Ba2 Li2 Pb1 O6'
_symmetry_space_group_name_H-M 'P 1'
_symmetry_Int_Tables_number 1
_cell_length_a 6.045
_cell_length_b 6.045
_cell_length_c 6.461
_cell_angle_alpha 62.11
_cell_angle_beta 62.11
_cell_angle_gamma 60.00
loop_
_symmetry_equiv_pos_as_xyz
'x,y,z'
loop_
_atom_site_label
_atom_site_type_symbol
_atom_site_fract_x
_atom_site_fract_y
_atom_site_fract_z
O1 O 0.767 0.244 0.744
O2 O 0.756 0.233 0.256
Ba1 Ba 0.224 0.224 0.327
O3 O 0.244 0.244 0.744
Ba2 Ba 0.776 0.776 0.673
O4 O 0.756 0.756 0.256
Pb1 Pb 0.000 0.000 0.000
Li1 Li 0.575 0.575 0.274
O5 O 0.233 0.756 0.256
Li2 Li 0.425 0.425 0.726
O6 O 0.244 0.767 0.744

***

(3)
# Co2ReAu | Alexandria via LeMat-Bulk | PBE | optimized geometry
# Symmetry ... P4/mmm, No. 123
# Energy relative to the elements ... 0.2488 eV per atom
data_Co2ReAu
_chemical_formula_sum 'Co2 Re1 Au1'
_symmetry_space_group_name_H-M 'P 1'
_symmetry_Int_Tables_number 1
_cell_length_a 3.026
_cell_length_b 3.026
_cell_length_c 5.977
_cell_angle_alpha 90.00
_cell_angle_beta 90.00
_cell_angle_gamma 90.00
loop_
_symmetry_equiv_pos_as_xyz
'x,y,z'
loop_
_atom_site_label
_atom_site_type_symbol
_atom_site_fract_x
_atom_site_fract_y
_atom_site_fract_z
Re1 Re 0.500 0.500 0.250
Co1 Co 0.000 0.000 0.473
Au1 Au 0.500 0.500 0.750
Co2 Co 0.000 0.000 0.027

***

(4)
# AlMoAu2 | Alexandria via LeMat-Bulk | PBE | optimized geometry
# Symmetry ... I4/mmm, No. 139
# Energy relative to the elements ... 0.1151 eV per atom
data_AlMoAu2
_chemical_formula_sum 'Al1 Mo1 Au2'
_symmetry_space_group_name_H-M 'P 1'
_symmetry_Int_Tables_number 1
_cell_length_a 4.998
_cell_length_b 4.998
_cell_length_c 4.998
_cell_angle_alpha 132.21
_cell_angle_beta 132.21
_cell_angle_gamma 69.91
loop_
_symmetry_equiv_pos_as_xyz
'x,y,z'
loop_
_atom_site_label
_atom_site_type_symbol
_atom_site_fract_x
_atom_site_fract_y
_atom_site_fract_z
Au1 Au 0.000 0.000 0.000
Al1 Al 0.750 0.250 0.500
Au2 Au 0.500 0.500 0.000
Mo1 Mo 0.250 0.750 0.500